RbLaAl3 | GGA-PBE | optimized geometry

a = 5.9012 Å, b = 5.9012 Å, c = 5.9012 Å
α = 90.00°, β = 90.00°, γ = 90.00°
Sites, in units of the cell vectors:
Al 0.0000 0.5000 0.0000
Al 0.0000 0.0000 0.5000
Al 0.5000 0.0000 0.0000
Rb 0.5000 0.5000 0.5000
La 0.0000 0.0000 0.0000

Properties
ΔH_f (0 K) = 775 meV/atom
Distance to the lowest polymorph of the same formula = 0 meV/atom